1.
VASP calculation (meta-GGA SCAN) on a PBEsol-optimized structure of RePtO2F.

abc: 3.7747 3.7747 4.3246
angles: 90.00 90.00 90.00
Each line ends with the local moment (μB).
Element x y z (fractional)
Pt 0.5000 0.5000 0.5000  0.58
O 0.5000 0.0000 0.0000  0.01
O 0.0000 0.5000 0.0000  0.01
F 0.0000 0.0000 0.5000  0.03
Re 0.0000 0.0000 0.0000  -0.02

Output
DOS(E_F) = 2.04 states/eV/f.u.
symmetry = P4/mmm, No. 123
raw formation energy = -7.2 kcal/mol of atoms
V = 61.62 Å³/cell
calculated density = 11.65 g/cm³
crystal system = tetragonal

***

2.
VASP calculation (meta-GGA SCAN) on a PBEsol-optimized structure of Ag2Cl3.

abc: 6.5043 6.5043 7.0293
angles: 62.44 62.44 60.00
Element x y z (fractional)
Cl 0.4283 0.0717 0.7500
Cl 0.5717 0.9283 0.2500
Cl 0.2500 0.5717 0.2500
Cl 0.9283 0.2500 0.2500
Cl 0.0717 0.7500 0.7500
Cl 0.7500 0.4283 0.7500
Ag 0.1592 0.1592 0.5224
Ag 0.8408 0.8408 0.4776
Ag 0.3408 0.3408 0.9776
Ag 0.6592 0.6592 0.0224

Output
DOS(E_F) = 6.13 states/eV/f.u.
symmetry = R-3c, No. 167
raw formation energy = -11.1 kcal/mol of atoms
V = 217.71 Å³/cell
calculated density = 4.91 g/cm³
crystal system = trigonal

***

Look up the calculated density of the first one.
11.65 g/cm³